No. 1
First-principles (PBE-GGA) data for an optimized crystal structure of Cs2SnCl4, as listed in Alexandria.

The structure in POSCAR format:
```
Cs2SnCl4
1.0
5.615 0.000 0.000
0.000 5.615 0.000
2.808 2.808 8.756
Cl Cs Sn
4 2 1
Direct
0.838 0.838 0.324
0.000 0.500 0.000
0.162 0.162 0.676
0.500 0.000 0.000
0.358 0.358 0.283
0.642 0.642 0.717
0.000 0.000 0.000
```

- total moment (μB/cell) = 0.00
- formation energy without anion corrections (kcal/mol of atoms) = -36.85
- calculated density (g cm⁻³) = 3.17
- calculated total energy (eV/atom) = -3.47

=====

No. 2
First-principles (PBE-GGA) data for an optimized crystal structure of CsSn2Cl, as listed in Alexandria.

The structure in POSCAR format:
```
CsSn2Cl
1.0
0.000 4.101 4.101
4.101 0.000 4.101
4.101 4.101 0.000
Sn Cs Cl
2 1 1
Direct
0.750 0.750 0.750
0.250 0.250 0.250
0.500 0.500 0.500
0.000 0.000 0.000
```

- total moment (μB/cell) = 0.00
- formation energy without anion corrections (kcal/mol of atoms) = 4.78
- calculated density (g cm⁻³) = 4.88
- calculated total energy (eV/atom) = -2.47

=====

No. 3
First-principles (PBE-GGA) data for an optimized crystal structure of Cs2Sn3Cl8, as listed in Alexandria.

The structure in POSCAR format:
```
Cs2Sn3Cl8
1.0
-3.624 6.558 -0.720
-3.419 -2.709 -7.469
-3.153 -3.935 7.878
Cl Cs Sn
8 2 3
Direct
0.613 0.125 0.799
0.387 0.326 0.201
0.107 0.898 0.796
0.967 0.605 0.210
0.033 0.395 0.790
0.387 0.875 0.201
0.893 0.102 0.204
0.613 0.674 0.799
0.326 0.270 0.541
0.674 0.730 0.459
0.500 0.000 0.000
0.000 0.258 0.000
0.000 0.742 0.000
```

- total moment (μB/cell) = 0.00
- formation energy without anion corrections (kcal/mol of atoms) = -30.65
- calculated density (g cm⁻³) = 2.94
- calculated total energy (eV/atom) = -3.52

=====

No. 4
First-principles (PBE-GGA) data for an optimized crystal structure of CsSn2Cl8, as listed in Alexandria.

The structure in POSCAR format:
```
CsSn2Cl8
1.0
6.520 0.000 0.000
0.000 6.520 0.000
0.000 0.000 8.527
Sn Cl Cs
2 8 1
Direct
0.000 0.500 0.000
0.500 0.000 0.000
0.248 0.248 0.818
0.752 0.752 0.818
0.752 0.248 0.182
0.248 0.752 0.182
0.752 0.752 0.182
0.248 0.248 0.182
0.752 0.248 0.818
0.248 0.752 0.818
0.500 0.500 0.500
```

- total moment (μB/cell) = 0.00
- formation energy without anion corrections (kcal/mol of atoms) = -18.68
- calculated density (g cm⁻³) = 3.00
- calculated total energy (eV/atom) = -2.96

=====

No. 5
First-principles (PBE-GGA) data for an optimized crystal structure of CsSn2Cl5, as listed in Alexandria.

The structure in POSCAR format:
```
CsSn2Cl5
1.0
-6.302 1.836 -7.141
3.887 -3.671 -8.093
-1.437 -4.153 8.647
Cl Cs Sn
10 2 4
Direct
0.042 0.542 0.827
0.215 0.042 0.500
0.000 0.000 0.000
0.785 0.958 0.500
0.542 0.715 0.500
0.285 0.785 0.827
0.500 0.500 0.000
0.458 0.285 0.500
0.958 0.458 0.173
0.715 0.215 0.173
0.250 0.250 0.000
0.750 0.750 0.000
0.682 0.182 0.863
0.182 0.318 0.500
0.818 0.682 0.500
0.318 0.818 0.137
```

- total moment (μB/cell) = 0.00
- formation energy without anion corrections (kcal/mol of atoms) = -29.72
- calculated density (g cm⁻³) = 3.47
- calculated total energy (eV/atom) = -3.55

=====

No. 6
First-principles (PBE-GGA) data for an optimized crystal structure of CsSnCl3, as listed in Alexandria.

The structure in POSCAR format:
```
CsSnCl3
1.0
6.153 0.000 0.000
0.000 6.153 0.000
0.000 0.000 6.153
Sn Cl Cs
1 3 1
Direct
0.500 0.500 0.500
0.000 0.500 0.000
0.500 0.000 0.000
0.000 0.000 0.500
0.000 0.000 0.000
```

- total moment (μB/cell) = 0.00
- formation energy without anion corrections (kcal/mol of atoms) = -7.63
- calculated density (g cm⁻³) = 2.55
- calculated total energy (eV/atom) = -2.41

=====

No. 7
First-principles (PBE-GGA) data for an optimized crystal structure of Cs2Sn2Cl, as listed in Alexandria.

The structure in POSCAR format:
```
Cs2Sn2Cl
1.0
4.311 0.000 0.000
0.000 4.311 0.000
2.156 2.156 10.966
Cs Sn Cl
2 2 1
Direct
0.409 0.409 0.183
0.591 0.591 0.817
0.750 0.250 0.500
0.250 0.750 0.500
0.000 0.000 0.000
```

- total moment (μB/cell) = 0.00
- formation energy without anion corrections (kcal/mol of atoms) = -18.40
- calculated density (g cm⁻³) = 4.39
- calculated total energy (eV/atom) = -3.11

=====

No. 8
First-principles (PBE-GGA) data for an optimized crystal structure of CsSn3Cl12, as listed in Alexandria.

The structure in POSCAR format:
```
CsSn3Cl12
1.0
-3.215 4.756 7.002
-6.913 -10.539 3.984
12.327 1.865 4.393
Sn Cl Cs
6 24 2
Direct
0.250 0.733 0.102
0.250 0.898 0.631
0.750 0.102 0.369
0.750 0.267 0.898
0.750 0.631 0.733
0.250 0.369 0.267
0.039 0.774 0.563
0.961 0.210 0.774
0.039 0.790 0.226
0.250 0.526 0.984
0.750 0.998 0.163
0.539 0.210 0.774
0.250 0.002 0.837
0.750 0.542 0.526
0.461 0.774 0.563
0.250 0.163 0.166
0.039 0.437 0.210
0.961 0.226 0.437
0.250 0.834 0.998
0.461 0.437 0.210
0.750 0.474 0.016
0.250 0.458 0.474
0.539 0.226 0.437
0.750 0.984 0.458
0.461 0.790 0.226
0.250 0.016 0.542
0.750 0.166 0.002
0.750 0.837 0.834
0.539 0.563 0.790
0.961 0.563 0.790
0.250 0.333 0.667
0.750 0.667 0.333
```

- total moment (μB/cell) = 0.00
- formation energy without anion corrections (kcal/mol of atoms) = -23.50
- calculated density (g cm⁻³) = 2.22
- calculated total energy (eV/atom) = -3.21

=====

No. 9
First-principles (PBE-GGA) data for an optimized crystal structure of CsSnCl6, as listed in Alexandria.

The structure in POSCAR format:
```
CsSnCl6
1.0
6.435 0.333 -0.871
-1.368 6.297 -0.871
-0.193 -0.253 6.661
Cs Cl Sn
1 6 1
Direct
0.000 0.000 0.000
0.429 0.779 0.764
0.779 0.429 0.764
0.571 0.221 0.236
0.234 0.234 0.584
0.766 0.766 0.416
0.221 0.571 0.236
0.500 0.500 0.500
```

- total moment (μB/cell) = 1.03
- formation energy without anion corrections (kcal/mol of atoms) = -23.41
- calculated density (g cm⁻³) = 2.85
- calculated total energy (eV/atom) = -3.01

=====

No. 10
First-principles (PBE-GGA) data for an optimized crystal structure of Cs2SnCl, as listed in Alexandria.

The structure in POSCAR format:
```
Cs2SnCl
1.0
-5.940 -0.161 2.608
-1.820 4.589 4.211
-4.424 4.421 -1.730
Cl Cs Sn
1 2 1
Direct
0.000 0.000 0.000
0.750 0.750 0.750
0.250 0.250 0.250
0.500 0.500 0.500
```

- total moment (μB/cell) = 3.00
- formation energy without anion corrections (kcal/mol of atoms) = -14.31
- calculated density (g cm⁻³) = 3.61
- calculated total energy (eV/atom) = -2.51

=====

No. 11
First-principles (PBE-GGA) data for an optimized crystal structure of CsSnCl3, as listed in Alexandria.

The structure in POSCAR format:
```
CsSnCl3
1.0
-6.832 2.540 -3.321
-2.909 -4.230 2.750
-5.131 6.082 15.207
Cs Cl Sn
4 12 4
Direct
0.495 0.601 0.152
0.005 0.601 0.652
0.995 0.399 0.348
0.505 0.399 0.848
0.543 0.424 0.375
0.802 0.019 0.744
0.043 0.576 0.125
0.166 0.196 0.546
0.198 0.981 0.256
0.302 0.981 0.756
0.834 0.804 0.454
0.334 0.196 0.046
0.698 0.019 0.244
0.957 0.424 0.875
0.666 0.804 0.954
0.457 0.576 0.625
0.049 0.136 0.116
0.549 0.864 0.384
0.451 0.136 0.616
0.951 0.864 0.884
```

- total moment (μB/cell) = 0.00
- formation energy without anion corrections (kcal/mol of atoms) = -33.52
- calculated density (g cm⁻³) = 3.12
- calculated total energy (eV/atom) = -3.53

=====

No. 12
First-principles (PBE-GGA) data for an optimized crystal structure of Cs5SnCl8, as listed in Alexandria.

The structure in POSCAR format:
```
Cs5SnCl8
1.0
8.570 0.000 -2.727
-4.380 7.203 -3.132
0.189 0.000 8.991
Cs Cl Sn
5 8 1
Direct
0.010 0.405 0.148
0.743 0.595 0.605
0.500 0.000 0.500
0.852 0.862 0.257
0.395 0.138 0.990
0.466 0.590 0.237
0.544 0.792 0.855
0.062 0.208 0.752
0.145 0.690 0.938
0.124 0.771 0.534
0.763 0.229 0.353
0.248 0.310 0.456
0.647 0.410 0.876
0.250 0.500 0.750
```

- total moment (μB/cell) = 1.00
- formation energy without anion corrections (kcal/mol of atoms) = -36.89
- calculated density (g cm⁻³) = 3.17
- calculated total energy (eV/atom) = -3.25

=====

Question: Among the records above, which one has the highest calculated total energy?
Answer: number 6